1.
First-principles (PBE-GGA) data for a relaxed SiCO2F crystal, as listed in Alexandria via LeMat-Bulk.

The structure in extended XYZ format:
```
5
Lattice="-0.675 2.204 -2.636 -2.974 0.970 1.573 1.768 2.612 1.731" Properties=species:S:1:pos:R:3 pbc="T T T"
O -1.487 0.485 0.787
F 0.884 1.306 0.866
O -0.338 1.102 -1.318
Si 0.000 0.000 0.000
C -0.941 2.893 0.334
```

Properties
Fermi-level density of states in states/eV/cell: 1.4
Formation energy from raw total energies in eV/atom: -0.308
Total energy in eV for the cell shown: -27.97

---

2.
First-principles (PBE-GGA) data for a relaxed Sm4C2OF crystal, as listed in Alexandria via LeMat-Bulk.

The structure in extended XYZ format:
```
8
Lattice="3.654 0.000 0.000 0.000 6.344 0.123 0.000 -2.217 5.890" Properties=species:S:1:pos:R:3 pbc="T T T"
O 0.000 0.000 0.000
C 1.827 -1.108 2.945
Sm 1.827 3.141 4.440
Sm 0.000 4.250 1.670
Sm 1.827 0.986 1.573
F 1.827 3.172 0.062
Sm 0.000 -0.123 4.344
C 0.000 2.064 3.007
```

Properties
Fermi-level density of states in states/eV/cell: 2.0
Formation energy from raw total energies in eV/atom: -1.543
Total energy in eV for the cell shown: -56.49

---

3.
First-principles (PBE-GGA) data for a relaxed SnCOF2 crystal, as listed in Alexandria via LeMat-Bulk.

The structure in extended XYZ format:
```
5
Lattice="4.512 0.000 0.000 0.000 4.512 0.000 0.000 0.000 3.089" Properties=species:S:1:pos:R:3 pbc="T T T"
F 0.000 2.256 0.000
F 2.256 0.000 0.000
O 0.000 0.000 1.544
C 0.000 0.000 0.000
Sn 2.256 2.256 1.544
```

Properties
E above lowest polymorph in eV/f.u.: 0.00
Fermi-level density of states in states/eV/cell: 0.5
Formation energy from raw total energies in eV/atom: -0.202
Total energy in eV for the cell shown: -22.94

---

4.
First-principles (PBE-GGA) data for a relaxed SnCOF2 crystal, as listed in Alexandria via LeMat-Bulk.

The structure in extended XYZ format:
```
5
Lattice="-0.534 -0.612 4.139 4.044 -1.143 0.353 1.010 3.786 0.690" Properties=species:S:1:pos:R:3 pbc="T T T"
F -0.267 -0.306 2.069
F 2.022 -0.572 0.176
C 2.260 1.015 2.591
Sn 0.000 0.000 0.000
O 0.505 1.893 0.345
```

Properties
E above lowest polymorph in eV/f.u.: 0.78
Fermi-level density of states in states/eV/cell: 3.1
Formation energy from raw total energies in eV/atom: -0.046
Total energy in eV for the cell shown: -22.16

---

5.
First-principles (PBE-GGA) data for a relaxed SrCOF2 crystal, as listed in Alexandria via LeMat-Bulk.

The structure in extended XYZ format:
```
5
Lattice="-2.386 -1.331 -3.257 2.142 -3.671 -0.069 -2.191 -1.319 2.144" Properties=species:S:1:pos:R:3 pbc="T T T"
C 0.000 0.000 0.000
Sr -1.217 -3.160 -0.591
F -1.193 -0.665 -1.628
F 1.071 -1.836 -0.035
O -1.095 -0.659 1.072
```

Properties
E above lowest polymorph in eV/f.u.: 0.00
Fermi-level density of states in states/eV/cell: 0.5
Formation energy from raw total energies in eV/atom: -1.150
Total energy in eV for the cell shown: -25.35

---

6.
First-principles (PBE-GGA) data for a relaxed SrCOF2 crystal, as listed in Alexandria via LeMat-Bulk.

The structure in extended XYZ format:
```
5
Lattice="4.579 0.000 0.000 0.000 4.579 0.000 0.000 0.000 4.901" Properties=species:S:1:pos:R:3 pbc="T T T"
Sr 0.000 0.000 0.000
O 0.000 0.000 2.450
C 2.290 2.290 2.450
F 0.000 2.290 0.000
F 2.290 0.000 0.000
```

Properties
E above lowest polymorph in eV/f.u.: 5.74
Fermi-level density of states in states/eV/cell: 7.8
Formation energy from raw total energies in eV/atom: -0.001
Total energy in eV for the cell shown: -19.61

---

7.
First-principles (PBE-GGA) data for a relaxed TaCO2F crystal, as listed in Alexandria via LeMat-Bulk.

The structure in extended XYZ format:
```
5
Lattice="-0.057 1.401 -3.528 -3.795 -0.098 0.023 -0.073 3.136 1.247" Properties=species:S:1:pos:R:3 pbc="T T T"
O -1.898 -0.049 0.011
Ta -1.963 2.220 -1.129
C 0.000 0.000 0.000
F -0.037 1.568 0.623
O -0.029 0.701 -1.764
```

Properties
Fermi-level density of states in states/eV/cell: 3.3
Formation energy from raw total energies in eV/atom: 0.567
Total energy in eV for the cell shown: -30.03

---

8.
First-principles (PBE-GGA) data for a relaxed TaCO2F crystal, as listed in Alexandria via LeMat-Bulk.

The structure in extended XYZ format:
```
5
Lattice="-2.099 0.602 -3.274 2.676 -1.996 -2.082 -2.066 -3.484 0.684" Properties=species:S:1:pos:R:3 pbc="T T T"
Ta 0.000 0.000 0.000
F -1.033 -1.742 0.342
O -1.049 0.301 -1.637
C -0.744 -2.439 -2.336
O 1.338 -0.998 -1.041
```

Properties
Fermi-level density of states in states/eV/cell: 2.9
Formation energy from raw total energies in eV/atom: -0.706
Total energy in eV for the cell shown: -36.39

---

9.
First-principles (PBE-GGA) data for a relaxed TaC2OF crystal, as listed in Alexandria via LeMat-Bulk.

The structure in extended XYZ format:
```
5
Lattice="-3.984 0.978 0.936 -1.166 -1.276 -3.630 -0.586 -3.868 1.548" Properties=species:S:1:pos:R:3 pbc="T T T"
O -2.868 -2.083 -0.573
F -0.583 -0.638 -1.815
Ta 0.000 0.000 0.000
C -1.992 0.489 0.468
C -0.293 -1.934 0.774
```

Properties
Fermi-level density of states in states/eV/cell: 4.0
Formation energy from raw total energies in eV/atom: 1.083
Total energy in eV for the cell shown: -31.71

---

10.
First-principles (PBE-GGA) data for a relaxed Tb4C2OF crystal, as listed in Alexandria via LeMat-Bulk.

The structure in extended XYZ format:
```
8
Lattice="-0.525 1.760 -3.065 -1.097 -5.374 -2.899 -5.273 2.262 2.202" Properties=species:S:1:pos:R:3 pbc="T T T"
Tb -4.111 0.386 0.925
Tb -1.925 0.148 -1.669
Tb -4.970 -1.500 -2.094
F -0.811 -1.807 -2.982
O 0.000 0.000 0.000
Tb -2.259 -3.499 -1.623
C -2.899 2.011 -0.432
C -3.185 -1.556 -0.349
```

Properties
Fermi-level density of states in states/eV/cell: 2.0
Formation energy from raw total energies in eV/atom: -1.638
Total energy in eV for the cell shown: -56.90

---

11.
First-principles (PBE-GGA) data for a relaxed TcCO2F crystal, as listed in Alexandria via LeMat-Bulk.

The structure in extended XYZ format:
```
5
Lattice="-3.517 -0.138 -0.951 0.201 -3.633 -0.218 -0.953 -0.266 3.562" Properties=species:S:1:pos:R:3 pbc="T T T"
Tc -2.134 -2.019 1.197
O 0.101 -1.817 -0.109
F -0.476 -0.133 1.781
C 0.000 0.000 0.000
O -1.758 -0.069 -0.475
```

Properties
Fermi-level density of states in states/eV/cell: 2.3
Formation energy from raw total energies in eV/atom: 0.791
Total energy in eV for the cell shown: -27.42

---

12.
First-principles (PBE-GGA) data for a relaxed TcCOF2 crystal, as listed in Alexandria via LeMat-Bulk.

The structure in extended XYZ format:
```
5
Lattice="-1.500 4.272 -1.330 -3.514 -0.256 3.140 1.448 1.039 1.705" Properties=species:S:1:pos:R:3 pbc="T T T"
F -1.757 -0.128 1.570
O 0.724 0.520 0.852
C 0.000 0.000 0.000
F -0.750 2.136 -0.665
Tc -1.783 2.528 1.758
```

Properties
Fermi-level density of states in states/eV/cell: 2.5
Formation energy from raw total energies in eV/atom: 0.592
Total energy in eV for the cell shown: -25.33

---

13.
First-principles (PBE-GGA) data for a relaxed TcCO2F crystal, as listed in Alexandria via LeMat-Bulk.

The structure in extended XYZ format:
```
5
Lattice="3.796 0.000 0.000 0.000 3.796 0.000 0.000 0.000 4.148" Properties=species:S:1:pos:R:3 pbc="T T T"
Tc 0.000 0.000 0.000
O 1.898 0.000 0.000
O 0.000 1.898 0.000
C 1.898 1.898 2.074
F 0.000 0.000 2.074
```

Properties
Fermi-level density of states in states/eV/cell: 5.5
Formation energy from raw total energies in eV/atom: 0.314
Total energy in eV for the cell shown: -29.81

---

14.
First-principles (PBE-GGA) data for a relaxed Tl3CO3F crystal, as listed in Alexandria via LeMat-Bulk.

The structure in extended XYZ format:
```
16
Lattice="6.270 0.000 0.000 0.000 7.669 -0.003 0.000 3.837 6.642" Properties=species:S:1:pos:R:3 pbc="T T T"
F 0.000 1.919 3.321
C 1.568 5.752 5.533
Tl 1.568 4.164 2.810
F 3.135 1.919 3.321
Tl 4.703 3.484 5.011
Tl 4.703 2.601 1.121
Tl 4.703 7.342 3.828
C 4.703 5.754 1.105
O 4.703 4.993 2.165
Tl 1.568 8.021 1.627
O 1.568 2.452 0.081
O 4.703 7.052 1.234
O 1.568 6.513 4.473
O 4.703 9.054 6.558
O 1.568 4.453 5.404
Tl 1.568 8.905 5.518
```

Properties
Fermi-level density of states in states/eV/cell: 0.0
Formation energy from raw total energies in eV/atom: -1.290
Total energy in eV for the cell shown: -86.77

---

15.
First-principles (PBE-GGA) data for a relaxed UCO5F crystal, as listed in Alexandria via LeMat-Bulk.

The structure in extended XYZ format:
```
16
Lattice="-2.598 5.023 1.962 0.495 -4.858 3.462 7.453 2.009 -2.141" Properties=species:S:1:pos:R:3 pbc="T T T"
C 5.283 -0.790 1.467
O 1.011 2.420 2.698
F 4.373 2.115 1.026
U 3.726 1.004 -1.070
O 3.151 6.019 0.434
O 4.339 -0.246 0.585
O 0.627 3.787 0.883
C 0.067 2.964 1.816
O 5.683 0.402 2.086
O 2.199 -3.845 2.849
O 4.723 -1.614 2.400
U 0.000 0.000 0.000
O -0.935 3.549 2.535
O -0.333 1.771 1.197
F 0.977 0.058 2.257
O 6.284 -1.376 0.748
```

Properties
Fermi-level density of states in states/eV/cell: 1.4
Formation energy from raw total energies in eV/atom: -1.755
Total energy in eV for the cell shown: -122.43